No. 1
Compound: AlP2IrO
Source: the Alexandria database
Functional: meta-GGA SCAN
Structure: PBEsol geometry

Results
Final energy ... -21.03 eV per atom
Total magnetization ... 0.00 μB per cell
Formation energy (no corrections) ... 0.151 eV/atom
Space-group type ... P4/mmm

Cell lengths 4.7296, 4.7296, 3.2467 Å; angles 90.00, 90.00, 90.00 degrees
Closest atoms and distances in Å follow each position.
Fractional coordinates of all 5 atoms:
Al  0.0000  0.0000  0.0000  2 O 1.62
P  0.0000  0.5000  0.0000  2 Al 2.36
P  0.5000  0.0000  0.0000  2 Al 2.36
Ir  0.5000  0.5000  0.5000  8 P 2.87
O  0.0000  0.0000  0.5000  2 Al 1.62

=====

No. 2
Compound: MgRuSN2
Source: the Alexandria database
Functional: meta-GGA SCAN
Structure: PBEsol geometry

Results
Final energy ... -13.45 eV per atom
Total magnetization ... 0.01 μB per cell
Formation energy (no corrections) ... 0.157 eV/atom
Space-group type ... P4/mmm

Cell lengths 3.7258, 3.7258, 5.1188 Å; angles 90.00, 90.00, 90.00 degrees
Closest atoms and distances in Å follow each position.
Fractional coordinates of all 5 atoms:
Mg  0.0000  0.0000  0.0000  4 S 2.63
Ru  0.5000  0.5000  0.5000  4 N 1.86
S  0.5000  0.5000  0.0000  2 Ru 2.56, 4 Mg 2.63
N  0.0000  0.5000  0.5000  2 Ru 1.86
N  0.5000  0.0000  0.5000  2 Ru 1.86

=====

No. 3
Compound: YIrSeBr2
Source: the Alexandria database
Functional: meta-GGA SCAN
Structure: PBEsol geometry

Results
Final energy ... -31.82 eV per atom
Total magnetization ... 0.00 μB per cell
E above lowest polymorph ... 0 meV per atom
Formation energy (no corrections) ... -0.234 eV/atom
Space-group type ... P4/mmm

Cell lengths 4.9215, 4.9215, 4.9459 Å; angles 90.00, 90.00, 90.00 degrees
Closest atoms and distances in Å follow each position.
Fractional coordinates of all 5 atoms:
Y  0.0000  0.0000  0.0000  4 Se 3.48, 8 Br 3.49
Ir  0.5000  0.5000  0.5000  4 Br 2.46, 2 Se 2.47
Se  0.5000  0.5000  0.0000  2 Ir 2.47
Br  0.0000  0.5000  0.5000  2 Ir 2.46
Br  0.5000  0.0000  0.5000  2 Ir 2.46

=====

No. 4
Compound: LaH2F
Source: the Alexandria database
Functional: meta-GGA SCAN
Structure: PBEsol geometry

Results
Final energy ... -14.86 eV per atom
Total magnetization ... 0.00 μB per cell
Space-group type ... I-42d

Cell lengths 8.1245, 8.1245, 8.1245 Å; angles 153.79, 153.79, 37.41 degrees
Closest atoms and distances in Å follow each position.
Fractional coordinates of all 8 atoms:
La  0.0000  0.0000  0.0000  4 H 2.22
La  0.7500  0.2500  0.5000  4 H 2.22
H  0.0461  0.6250  0.9211  2 La 2.22, 2 H 2.23, 2 F 2.45
H  0.3750  0.2961  0.4211  2 La 2.22, 2 H 2.23, 2 F 2.45
H  0.7039  0.1250  0.0789  2 La 2.22, 2 H 2.23, 2 F 2.45
H  0.8750  0.9539  0.5789  2 La 2.22, 2 H 2.23, 2 F 2.45
F  0.2500  0.7500  0.5000  4 H 2.45, 4 La 2.61
F  0.5000  0.5000  0.0000  4 H 2.45, 4 La 2.61

=====

No. 5
Compound: AsPdPb3
Source: the Alexandria database
Functional: meta-GGA SCAN
Structure: PBEsol geometry

Results
Final energy ... -55.84 eV per atom
Total magnetization ... 0.00 μB per cell
Space-group type ... Pm-3m

Cell lengths 5.2250, 5.2250, 5.2250 Å; angles 90.00, 90.00, 90.00 degrees
Closest atoms and distances in Å follow each position.
Fractional coordinates of all 5 atoms:
As  0.0000  0.0000  0.0000  12 Pb 3.69
Pd  0.5000  0.5000  0.5000  6 Pb 2.61
Pb  0.0000  0.5000  0.5000  2 Pd 2.61
Pb  0.5000  0.0000  0.5000  2 Pd 2.61
Pb  0.5000  0.5000  0.0000  2 Pd 2.61

=====

No. 6
Compound: CuSbAs2Au
Source: the Alexandria database
Functional: meta-GGA SCAN
Structure: PBEsol geometry

Results
Final energy ... -31.88 eV per atom
Total magnetization ... 0.00 μB per cell
Formation energy (no corrections) ... 0.523 eV/atom
Space-group type ... P4/mmm

Cell lengths 4.6370, 4.6370, 4.8149 Å; angles 90.00, 90.00, 90.00 degrees
Closest atoms and distances in Å follow each position.
Fractional coordinates of all 5 atoms:
Cu  0.0000  0.0000  0.0000  4 As 2.32, 2 Au 2.41
Sb  0.5000  0.5000  0.5000  4 Au 3.28, 8 As 3.34
As  0.0000  0.5000  0.0000  2 Cu 2.32
As  0.5000  0.0000  0.0000  2 Cu 2.32
Au  0.0000  0.0000  0.5000  2 Cu 2.41

=====

No. 7
Compound: FeTe2BrN
Source: the Alexandria database
Functional: meta-GGA SCAN
Structure: PBEsol geometry

Results
Final energy ... -23.90 eV per atom
Total magnetization ... 0.01 μB per cell
Formation energy (no corrections) ... 0.381 eV/atom
Space-group type ... P4/mmm

Cell lengths 5.3614, 5.3614, 3.3695 Å; angles 90.00, 90.00, 90.00 degrees
Closest atoms and distances in Å follow each position.
Fractional coordinates of all 5 atoms:
Fe  0.0000  0.0000  0.0000  2 N 1.68
Te  0.0000  0.5000  0.0000  2 Fe 2.68
Te  0.5000  0.0000  0.0000  2 Fe 2.68
Br  0.5000  0.5000  0.5000  8 Te 3.17, 2 Br 3.37
N  0.0000  0.0000  0.5000  2 Fe 1.68

=====

No. 8
Compound: NiIrRu2
Source: the Alexandria database
Functional: meta-GGA SCAN
Structure: PBEsol geometry

Results
Final energy ... -39.15 eV per atom
Total magnetization ... 0.00 μB per cell
E above lowest polymorph ... 29 meV per atom
Space-group type ... I-4m2

Cell lengths 4.5869, 4.5869, 4.5869 Å; angles 132.47, 132.47, 69.49 degrees
Closest atoms and distances in Å follow each position.
Fractional coordinates of all 4 atoms:
Ni  0.0000  0.0000  0.0000  8 Ru 2.61-2.64, 4 Ir 2.64
Ir  0.2500  0.7500  0.5000  8 Ru 2.61-2.64, 4 Ni 2.64
Ru  0.5000  0.5000  0.0000  4 Ni 2.61, 4 Ir 2.64, 4 Ru 2.64
Ru  0.7500  0.2500  0.5000  4 Ir 2.61, 4 Ru 2.64, 4 Ni 2.64

=====

No. 9
Compound: AsP2Br
Source: the Alexandria database
Functional: meta-GGA SCAN
Structure: PBEsol geometry

Results
Final energy ... -14.88 eV per atom
Total magnetization ... 0.00 μB per cell
E above lowest polymorph ... 0 meV per atom
Formation energy (no corrections) ... 0.231 eV/atom
Space-group type ... P2/m

Cell lengths 3.5685, 4.5725, 5.3639 Å; angles 90.00, 109.20, 90.00 degrees
Closest atoms and distances in Å follow each position.
Fractional coordinates of all 4 atoms:
As  0.0000  0.0000  0.0000  4 P 2.58, 2 Br 2.69
P  0.1932  0.5000  0.8563  2 P 2.23-2.38
P  0.8068  0.5000  0.1437  2 P 2.23-2.38
Br  0.5000  0.0000  0.5000  2 As 2.69

=====

No. 10
Compound: La2AlSe
Source: the Alexandria database
Functional: meta-GGA SCAN
Structure: PBEsol geometry

Results
Final energy ... -29.70 eV per atom
Total magnetization ... 0.00 μB per cell
E above lowest polymorph ... 0 meV per atom
Formation energy (no corrections) ... -1.189 eV/atom
Space-group type ... R-3m

Cell lengths 8.1835, 8.1835, 8.1835 Å; angles 29.39, 29.39, 29.39 degrees
Closest atoms and distances in Å follow each position.
Fractional coordinates of all 4 atoms:
La  0.2446  0.2446  0.2446  3 Se 3.01, 3 Al 3.18
La  0.7554  0.7554  0.7554  3 Se 3.01, 3 Al 3.18
Al  0.0000  0.0000  0.0000  6 La 3.18
Se  0.5000  0.5000  0.5000  6 La 3.01

=====

No. 11
Compound: Tl2CrAs
Source: the Alexandria database
Functional: meta-GGA SCAN
Structure: PBEsol geometry

Results
Final energy ... -45.54 eV per atom
Total magnetization ... 3.74 μB per cell
E above lowest polymorph ... 285 meV per atom
Space-group type ... C2/m

Cell lengths 6.1350, 6.1350, 3.9590 Å; angles 108.59, 108.59, 124.11 degrees
Closest atoms and distances in Å follow each position.
Fractional coordinates of all 4 atoms:
Tl  0.0000  0.5000  0.0000  4 Tl 2.87-2.91, 2 Cr 3.08, 2 As 3.08
Tl  0.5000  0.0000  0.0000  4 Tl 2.87-2.91, 2 Cr 3.08, 2 As 3.08
Cr  0.0000  0.0000  0.5000  4 As 2.87-2.91, 4 Tl 3.08
As  0.5000  0.5000  0.5000  4 Cr 2.87-2.91, 4 Tl 3.08

=====

No. 12
Compound: Sr
Source: the Alexandria database
Functional: meta-GGA SCAN
Structure: PBEsol geometry

Results
Final energy ... -22.27 eV per atom
Total magnetization ... 0.18 μB per cell
E above lowest polymorph ... 3 meV per atom
Space-group type ... P6_3/mmc

Cell lengths 4.1754, 4.1754, 6.8800 Å; angles 90.00, 90.00, 120.00 degrees
Closest atoms and distances in Å follow each position.
Fractional coordinates of all 2 atoms:
Sr  0.3333  0.6667  0.2500  12 Sr 4.18-4.20
Sr  0.6667  0.3333  0.7500  12 Sr 4.18-4.20

=====

No. 13
Compound: Pr5Ge3
Source: the Alexandria database
Functional: meta-GGA SCAN
Structure: PBEsol geometry

Results
Final energy ... -35.00 eV per atom
Total magnetization ... 0.00 μB per cell
Space-group type ... P6_3/mcm

Cell lengths 8.8085, 8.8085, 6.6529 Å; angles 90.00, 90.00, 120.00 degrees
Closest atoms and distances in Å follow each position.
Fractional coordinates of all 16 atoms:
Pr  0.0000  0.2473  0.2500  3 Ge 3.02-3.18
Pr  0.0000  0.7527  0.7500  3 Ge 3.02-3.18
Pr  0.2473  0.0000  0.2500  3 Ge 3.02-3.18
Pr  0.2473  0.2473  0.7500  3 Ge 3.02-3.18
Pr  0.3333  0.6667  0.0000  6 Ge 3.18, 2 Pr 3.33
Pr  0.3333  0.6667  0.5000  6 Ge 3.18, 2 Pr 3.33
Pr  0.6667  0.3333  0.0000  6 Ge 3.18, 2 Pr 3.33
Pr  0.6667  0.3333  0.5000  6 Ge 3.18, 2 Pr 3.33
Pr  0.7527  0.0000  0.7500  3 Ge 3.02-3.18
Pr  0.7527  0.7527  0.2500  3 Ge 3.02-3.18
Ge  0.0000  0.3921  0.7500  7 Pr 3.02-3.18
Ge  0.0000  0.6079  0.2500  7 Pr 3.02-3.18
Ge  0.3921  0.0000  0.7500  7 Pr 3.02-3.18
Ge  0.3921  0.3921  0.2500  7 Pr 3.02-3.18
Ge  0.6079  0.0000  0.2500  7 Pr 3.02-3.18
Ge  0.6079  0.6079  0.7500  7 Pr 3.02-3.18

=====

No. 14
Compound: Cu3Mo
Source: the Alexandria database
Functional: meta-GGA SCAN
Structure: PBEsol geometry

Results
Final energy ... -19.86 eV per atom
Total magnetization ... 0.00 μB per cell
Space-group type ... P2/m

Cell lengths 2.4752, 4.1149, 4.9493 Å; angles 90.00, 97.86, 90.00 degrees
Closest atoms and distances in Å follow each position.
Fractional coordinates of all 4 atoms:
Cu  0.0000  0.0000  0.0000  6 Cu 2.44-2.48, 2 Mo 2.61
Cu  0.1336  0.5000  0.7536  6 Cu 2.44-2.61, 2 Mo 2.63
Cu  0.8664  0.5000  0.2464  6 Cu 2.44-2.61, 2 Mo 2.63
Mo  0.5000  0.0000  0.5000  2 Mo 2.48, 6 Cu 2.61-2.63

=====

No. 15
Compound: TiTe2Pd
Source: the Alexandria database
Functional: meta-GGA SCAN
Structure: PBEsol geometry

Results
Final energy ... -30.72 eV per atom
Total magnetization ... 2.29 μB per cell
E above lowest polymorph ... 346 meV per atom
Formation energy (no corrections) ... 0.102 eV/atom
Space-group type ... R-3m

Cell lengths 8.8972, 8.8972, 8.8972 Å; angles 23.50, 23.50, 23.50 degrees
Closest atoms and distances in Å follow each position.
Fractional coordinates of all 4 atoms:
Ti  0.0000  0.0000  0.0000  2 Te 2.64
Te  0.1017  0.1017  0.1017  1 Ti 2.64, 3 Pd 2.69
Te  0.8983  0.8983  0.8983  1 Ti 2.64, 3 Pd 2.69
Pd  0.5000  0.5000  0.5000  6 Te 2.69

=====

No. 16
Compound: TlPtW2
Source: the Alexandria database
Functional: meta-GGA SCAN
Structure: PBEsol geometry

Results
Final energy ... -69.88 eV per atom
Total magnetization ... 0.00 μB per cell
E above lowest polymorph ... 0 meV per atom
Space-group type ... Imm2

Cell lengths 4.9690, 4.9690, 4.9690 Å; angles 133.08, 130.63, 70.48 degrees
Closest atoms and distances in Å follow each position.
Fractional coordinates of all 4 atoms:
Tl  0.0000  0.0000  0.0000  4 Pt 2.85-2.89, 8 W 2.87
Pt  0.7474  0.2474  0.5000  8 W 2.83-2.91, 4 Tl 2.85-2.89
W  0.2554  0.7554  0.5000  4 W 2.72-3.02, 4 Tl 2.87, 4 Pt 2.87
W  0.4848  0.4848  0.0000  4 W 2.72-3.02, 4 Pt 2.83-2.91, 4 Tl 2.87

=====

No. 17
Compound: CoAg2GeB
Source: the Alexandria database
Functional: meta-GGA SCAN
Structure: PBEsol geometry

Results
Final energy ... -19.86 eV per atom
Total magnetization ... 1.29 μB per cell
Space-group type ... P4/mmm

Cell lengths 4.7491, 4.7491, 4.2584 Å; angles 90.00, 90.00, 90.00 degrees
Closest atoms and distances in Å follow each position.
Fractional coordinates of all 5 atoms:
Co  0.0000  0.0000  0.0000  2 Ge 2.13, 4 Ag 2.37
Ag  0.0000  0.5000  0.0000  2 Co 2.37
Ag  0.5000  0.0000  0.0000  2 Co 2.37
Ge  0.0000  0.0000  0.5000  2 Co 2.13
B  0.5000  0.5000  0.5000  8 Ag 3.19, 4 Ge 3.36

=====

No. 18
Compound: Hg2TeRh
Source: the Alexandria database
Functional: meta-GGA SCAN
Structure: PBEsol geometry

Results
Final energy ... -51.54 eV per atom
Total magnetization ... 0.00 μB per cell
E above lowest polymorph ... 0 meV per atom
Formation energy (no corrections) ... 0.302 eV/atom
Space-group type ... P4/mmm

Cell lengths 3.7821, 3.7821, 5.6524 Å; angles 90.00, 90.00, 90.00 degrees
Closest atoms and distances in Å follow each position.
Fractional coordinates of all 4 atoms:
Hg  0.0000  0.0000  0.2353  1 Hg 2.66
Hg  0.0000  0.0000  0.7647  1 Hg 2.66
Te  0.5000  0.5000  0.5000  2 Rh 2.83, 8 Hg 3.06
Rh  0.5000  0.5000  0.0000  2 Te 2.83, 8 Hg 2.99

=====

No. 19
Compound: NaHf2MnGa
Source: the Alexandria database
Functional: meta-GGA SCAN
Structure: PBEsol geometry

Results
Final energy ... -32.51 eV per atom
Total magnetization ... 0.00 μB per cell
Space-group type ... P4/mmm

Cell lengths 4.7080, 4.7080, 4.7346 Å; angles 90.00, 90.00, 90.00 degrees
Closest atoms and distances in Å follow each position.
Fractional coordinates of all 5 atoms:
Na  0.0000  0.0000  0.0000  4 Ga 3.33, 8 Hf 3.34
Hf  0.0000  0.5000  0.5000  2 Mn 2.35
Hf  0.5000  0.0000  0.5000  2 Mn 2.35
Mn  0.5000  0.5000  0.5000  4 Hf 2.35, 2 Ga 2.37
Ga  0.5000  0.5000  0.0000  2 Mn 2.37

=====

No. 20
Compound: Sm2AlGe3
Source: the Alexandria database
Functional: meta-GGA SCAN
Structure: PBEsol geometry

Results
Final energy ... -26.39 eV per atom
Total magnetization ... 0.00 μB per cell
Space-group type ... Pnma

Cell lengths 6.7715, 4.2415, 17.7615 Å; angles 90.00, 90.00, 90.00 degrees
Closest atoms and distances in Å follow each position.
Fractional coordinates of all 24 atoms:
Sm  0.1690  0.2500  0.2040  9 Ge 2.98-3.31
Sm  0.1702  0.2500  0.4155  7 Ge 2.98-3.08, 3 Al 3.27-3.34
Sm  0.3298  0.7500  0.9155  7 Ge 2.98-3.08, 3 Al 3.27-3.34
Sm  0.3310  0.7500  0.7040  9 Ge 2.98-3.31
Sm  0.6690  0.2500  0.2960  9 Ge 2.98-3.31
Sm  0.6702  0.2500  0.0845  7 Ge 2.98-3.08, 3 Al 3.27-3.34
Sm  0.8298  0.7500  0.5845  7 Ge 2.98-3.08, 3 Al 3.27-3.34
Sm  0.8310  0.7500  0.7960  9 Ge 2.98-3.31
Al  0.0478  0.7500  0.0648  4 Ge 2.56-2.66
Al  0.4522  0.2500  0.5648  4 Ge 2.56-2.66
Al  0.5478  0.7500  0.4352  4 Ge 2.56-2.66
Al  0.9522  0.2500  0.9352  4 Ge 2.56-2.66
Ge  0.0307  0.2500  0.6745  2 Ge 2.55-2.61
Ge  0.1467  0.2500  0.8113  2 Ge 2.55-2.61, 1 Al 2.56
Ge  0.2442  0.2500  0.0352  3 Al 2.56-2.66
Ge  0.2558  0.7500  0.5352  3 Al 2.56-2.66
Ge  0.3533  0.7500  0.3113  2 Ge 2.55-2.61, 1 Al 2.56
Ge  0.4693  0.7500  0.1745  2 Ge 2.55-2.61
Ge  0.5307  0.2500  0.8255  2 Ge 2.55-2.61
Ge  0.6467  0.2500  0.6887  2 Ge 2.55-2.61, 1 Al 2.56
Ge  0.7442  0.2500  0.4648  3 Al 2.56-2.66
Ge  0.7558  0.7500  0.9648  3 Al 2.56-2.66
Ge  0.8533  0.7500  0.1887  2 Ge 2.55-2.61, 1 Al 2.56
Ge  0.9693  0.7500  0.3255  2 Ge 2.55-2.61